(1)
SbH3I at its PBEsol-relaxed geometry. Source: the Alexandria database, functional SCAN.

Properties
Space-group type: Pm-3m
Final energy in eV per atom: -16.32

a = 4.0795 Å, b = 4.0795 Å, c = 4.0795 Å
α = 90.00°, β = 90.00°, γ = 90.00°
Last column: nearest neighbours and their distance in Å.
Fractional positions:
Sb 0.0000 0.0000 0.0000  6 H 2.04
H 0.0000 0.0000 0.5000  2 Sb 2.04
H 0.0000 0.5000 0.0000  2 Sb 2.04
H 0.5000 0.0000 0.0000  2 Sb 2.04
I 0.5000 0.5000 0.5000  12 H 2.88

(2)
ScSb2HI at its PBEsol-relaxed geometry. Source: the Alexandria database, functional SCAN.

Properties
Space-group type: P4/mmm
Final energy in eV per atom: -25.69

a = 4.3742 Å, b = 4.3742 Å, c = 5.6836 Å
α = 90.00°, β = 90.00°, γ = 90.00°
Last column: nearest neighbours and their distance in Å.
Fractional positions:
Sc 0.0000 0.0000 0.0000  4 I 3.09
Sb 0.0000 0.5000 0.5000  2 H 2.19
Sb 0.5000 0.0000 0.5000  2 H 2.19
H 0.5000 0.5000 0.5000  4 Sb 2.19
I 0.5000 0.5000 0.0000  2 H 2.84, 4 Sc 3.09

(3)
Sb2TeHI at its PBEsol-relaxed geometry. Source: the Alexandria database, functional SCAN.

Properties
Space-group type: P4/mmm
Final energy in eV per atom: -28.89

a = 5.8527 Å, b = 5.8527 Å, c = 5.8647 Å
α = 90.00°, β = 90.00°, γ = 90.00°
Last column: nearest neighbours and their distance in Å.
Fractional positions:
Sb 0.0000 0.5000 0.0000  2 I 2.93
Sb 0.5000 0.0000 0.0000  2 I 2.93
Te 0.0000 0.0000 0.5000  2 I 2.93
H 0.5000 0.5000 0.5000  4 Te 4.14, 8 Sb 4.14
I 0.0000 0.0000 0.0000  4 Sb 2.93, 2 Te 2.93

(4)
SbHWI2 at its PBEsol-relaxed geometry. Source: the Alexandria database, functional SCAN.

Properties
Space-group type: P4/mmm
Final energy in eV per atom: -35.69

a = 5.5393 Å, b = 5.5393 Å, c = 5.1588 Å
α = 90.00°, β = 90.00°, γ = 90.00°
Last column: nearest neighbours and their distance in Å.
Fractional positions:
Sb 0.0000 0.0000 0.0000  2 W 2.58
H 0.5000 0.5000 0.0000  8 I 3.78, 4 Sb 3.92
W 0.0000 0.0000 0.5000  2 Sb 2.58, 4 I 2.77
I 0.0000 0.5000 0.5000  2 W 2.77
I 0.5000 0.0000 0.5000  2 W 2.77

(5)
ScH2I at its PBEsol-relaxed geometry. Source: the Alexandria database, functional SCAN.

Properties
Space-group type: I4_1/amd
Final energy in eV per atom: -14.97

a = 6.9072 Å, b = 6.9072 Å, c = 6.9072 Å
α = 142.28°, β = 142.28°, γ = 54.40°
Last column: nearest neighbours and their distance in Å.
Fractional positions:
Sc 0.3750 0.6250 0.7500  4 H 1.90
Sc 0.6250 0.3750 0.2500  4 H 1.90
H 0.0000 0.5000 0.5000  2 Sc 1.90
H 0.5000 0.0000 0.0000  2 Sc 1.90
H 0.5000 0.5000 0.0000  2 Sc 1.90
H 0.5000 0.5000 0.5000  2 Sc 1.90
I 0.1250 0.8750 0.2500  8 H 2.93, 4 Sc 3.16
I 0.8750 0.1250 0.7500  8 H 2.93, 4 Sc 3.16

(6)
HSe2I at its PBEsol-relaxed geometry. Source: the Alexandria database, functional SCAN.

Properties
Space-group type: R-3m
Final energy in eV per atom: -19.65

a = 4.8056 Å, b = 4.8056 Å, c = 4.8056 Å
α = 66.19°, β = 66.19°, γ = 66.19°
Last column: nearest neighbours and their distance in Å.
Fractional positions:
H 0.0000 0.0000 0.0000  2 Se 1.80
Se 0.1606 0.1606 0.1606  1 H 1.80
Se 0.8394 0.8394 0.8394  1 H 1.80
I 0.5000 0.5000 0.5000  6 Se 3.03

(7)
Te2HSeI at its PBEsol-relaxed geometry. Source: the Alexandria database, functional SCAN.

Properties
Space-group type: P4/mmm
Final energy in eV per atom: -26.49

a = 4.2305 Å, b = 4.2305 Å, c = 7.4517 Å
α = 90.00°, β = 90.00°, γ = 90.00°
Last column: nearest neighbours and their distance in Å.
Fractional positions:
Te 0.0000 0.5000 0.0000  2 H 2.12
Te 0.5000 0.0000 0.0000  2 H 2.12
H 0.0000 0.0000 0.0000  4 Te 2.12
Se 0.5000 0.5000 0.5000  4 I 2.99
I 0.0000 0.0000 0.5000  4 Se 2.99

(8)
SiHI2 at its PBEsol-relaxed geometry. Source: the Alexandria database, functional SCAN.

Properties
Space-group type: I-42d
Final energy in eV per atom: -20.95

a = 6.2909 Å, b = 6.2909 Å, c = 6.2909 Å
α = 112.92°, β = 112.92°, γ = 102.77°
Last column: nearest neighbours and their distance in Å.
Fractional positions:
Si 0.0000 0.0000 0.0000  4 I 2.81
Si 0.7500 0.2500 0.5000  4 I 2.81
H 0.2500 0.7500 0.5000  4 I 2.49
H 0.5000 0.5000 0.0000  4 I 2.49
I 0.1602 0.1250 0.5352  2 H 2.49
I 0.3750 0.8398 0.9648  2 H 2.49
I 0.5898 0.6250 0.4648  2 H 2.49
I 0.8750 0.4102 0.0352  2 H 2.49

(9)
SnH2I2 at its PBEsol-relaxed geometry. Source: the Alexandria database, functional SCAN.

Properties
Space-group type: I4/mmm
Final energy in eV per atom: -22.59

a = 6.9732 Å, b = 6.9732 Å, c = 6.9732 Å
α = 147.79°, β = 147.79°, γ = 46.20°
Last column: nearest neighbours and their distance in Å.
Fractional positions:
Sn 0.0000 0.0000 0.0000  8 I 3.34
H 0.2500 0.7500 0.5000  4 I 2.33
H 0.7500 0.2500 0.5000  4 I 2.33
I 0.3512 0.3512 0.0000  4 H 2.33
I 0.6488 0.6488 0.0000  4 H 2.33

(10)
SrSn2HI at its PBEsol-relaxed geometry. Source: the Alexandria database, functional SCAN.

Properties
Space-group type: P4/mmm
Final energy in eV per atom: -26.43

a = 6.3504 Å, b = 6.3504 Å, c = 4.1085 Å
α = 90.00°, β = 90.00°, γ = 90.00°
Last column: nearest neighbours and their distance in Å.
Fractional positions:
Sr 0.0000 0.0000 0.0000  2 H 2.05
Sn 0.0000 0.5000 0.0000  2 Sr 3.18
Sn 0.5000 0.0000 0.0000  2 Sr 3.18
H 0.0000 0.0000 0.5000  2 Sr 2.05
I 0.5000 0.5000 0.5000  8 Sn 3.78, 2 I 4.11

(11)
Sr2H3I at its PBEsol-relaxed geometry. Source: the Alexandria database, functional SCAN.

Properties
Space-group type: P-3m1
Final energy in eV per atom: -16.27

a = 4.1620 Å, b = 4.1620 Å, c = 7.4918 Å
α = 90.00°, β = 90.00°, γ = 120.00°
Last column: nearest neighbours and their distance in Å.
Fractional positions:
Sr 0.3333 0.6667 0.3195  4 H 2.42-2.44
Sr 0.6667 0.3333 0.6805  4 H 2.42-2.44
H 0.0000 0.0000 0.5000  6 H 2.64, 6 Sr 2.76
H 0.3333 0.6667 0.6448  4 Sr 2.42-2.44, 3 H 2.64
H 0.6667 0.3333 0.3552  4 Sr 2.42-2.44, 3 H 2.64
I 0.0000 0.0000 0.0000  6 Sr 3.39, 8 H 3.59-3.75

(12)
SrHI at its PBEsol-relaxed geometry. Source: the Alexandria database, functional SCAN.

Properties
Space-group type: P4/nmm
Final energy in eV per atom: -22.14

a = 4.2890 Å, b = 4.2890 Å, c = 8.0217 Å
α = 90.00°, β = 90.00°, γ = 90.00°
Last column: nearest neighbours and their distance in Å.
Fractional positions:
Sr 0.2500 0.2500 0.1584  4 H 2.49
Sr 0.7500 0.7500 0.8416  4 H 2.49
H 0.2500 0.7500 0.0000  4 Sr 2.49
H 0.7500 0.2500 0.0000  4 Sr 2.49
I 0.2500 0.2500 0.6640  4 Sr 3.35, 4 H 3.44
I 0.7500 0.7500 0.3360  4 Sr 3.35, 4 H 3.44